(i)
{"formula": "GaGe2RhBr", "functional": "PBE-GGA", "state": "optimized geometry", "spacegroup": "No. 123", "magnetic_moment_mub_per_fu": 0.6, "cell": [[4.9905, 0.0000, 0.0000], [0.0000, 4.9905, 0.0000], [0.0000, 0.0000, 4.7547]], "species": ["Ga", "Ge", "Ge", "Rh", "Br"], "frac_coords": [[0.0000, 0.0000, 0.0000], [0.0000, 0.5000, 0.0000], [0.5000, 0.0000, 0.0000], [0.0000, 0.0000, 0.5000], [0.5000, 0.5000, 0.5000]]}

(ii)
{"formula": "GaGe2RhBr", "functional": "PBE-GGA", "state": "optimized geometry", "spacegroup": "No. 123", "magnetic_moment_mub_per_fu": 0.3, "cell": [[4.8327, 0.0000, 0.0000], [0.0000, 4.8327, 0.0000], [0.0000, 0.0000, 5.0861]], "species": ["Ga", "Ge", "Ge", "Rh", "Br"], "frac_coords": [[0.0000, 0.0000, 0.0000], [0.0000, 0.5000, 0.0000], [0.5000, 0.0000, 0.0000], [0.5000, 0.5000, 0.5000], [0.0000, 0.0000, 0.5000]]}

Stability check: which of them is most stable? (i).

(i)
{"formula": "GaH3Br", "functional": "PBE-GGA", "state": "optimized geometry", "spacegroup": "No. 221", "magnetic_moment_mub_per_fu": 0.0, "cell": [[4.0246, 0.0000, 0.0000], [0.0000, 4.0246, 0.0000], [0.0000, 0.0000, 4.0246]], "species": ["Ga", "H", "H", "H", "Br"], "frac_coords": [[0.0000, 0.0000, 0.0000], [0.0000, 0.5000, 0.5000], [0.5000, 0.0000, 0.5000], [0.5000, 0.5000, 0.0000], [0.5000, 0.5000, 0.5000]]}

(ii)
{"formula": "GaH3Br", "functional": "PBE-GGA", "state": "optimized geometry", "spacegroup": "No. 221", "magnetic_moment_mub_per_fu": 0.0, "cell": [[3.8028, 0.0000, 0.0000], [0.0000, 3.8028, 0.0000], [0.0000, 0.0000, 3.8028]], "species": ["Ga", "H", "H", "H", "Br"], "frac_coords": [[0.0000, 0.0000, 0.0000], [0.0000, 0.0000, 0.5000], [0.0000, 0.5000, 0.0000], [0.5000, 0.0000, 0.0000], [0.5000, 0.5000, 0.5000]]}

(iii)
{"formula": "GaH3Br", "functional": "PBE-GGA", "state": "optimized geometry", "spacegroup": "No. 1", "magnetic_moment_mub_per_fu": 0.0, "cell": [[4.9039, 0.0000, 0.0000], [1.8008, 5.7830, 0.0000], [2.3176, 1.1737, 7.0655]], "species": ["Ga", "Ga", "H", "H", "H", "H", "H", "H", "Br", "Br"], "frac_coords": [[0.0000, 0.0000, 0.0000], [0.4437, 0.8919, 0.6585], [0.1667, 0.9842, 0.1479], [0.2116, 0.7852, 0.8619], [0.3374, 0.8608, 0.4916], [0.5754, 0.6677, 0.3565], [0.6788, 0.0574, 0.9881], [0.7607, 0.8221, 0.6834], [0.2106, 0.2998, 0.7174], [0.8208, 0.5112, 0.2442]]}

Stability check: which of them is most stable? (iii).

(i)
{"formula": "GaHBr2", "functional": "PBE-GGA", "state": "optimized geometry", "spacegroup": "No. 122", "magnetic_moment_mub_per_fu": 0.0, "cell": [[-3.3188, 3.3188, 4.2479], [3.3188, -3.3188, 4.2479], [3.3188, 3.3188, -4.2479]], "species": ["Ga", "Ga", "H", "H", "Br", "Br", "Br", "Br"], "frac_coords": [[0.0000, 0.0000, 0.0000], [0.7500, 0.2500, 0.5000], [0.2500, 0.7500, 0.5000], [0.5000, 0.5000, 0.0000], [0.2348, 0.6250, 0.1098], [0.3750, 0.4848, 0.6098], [0.5152, 0.1250, 0.8902], [0.8750, 0.7652, 0.3902]]}

(ii)
{"formula": "GaHBr2", "functional": "PBE-GGA", "state": "optimized geometry", "spacegroup": "No. 166", "magnetic_moment_mub_per_fu": 0.0, "cell": [[1.7929, 1.0352, 7.9888], [-1.7929, 1.0352, 7.9888], [0.0000, -2.0703, 7.9888]], "species": ["Ga", "H", "Br", "Br"], "frac_coords": [[0.0000, 0.0000, 0.0000], [0.5000, 0.5000, 0.5000], [0.1104, 0.1104, 0.1104], [0.8896, 0.8896, 0.8896]]}

(iii)
{"formula": "GaHBr2", "functional": "PBE-GGA", "state": "optimized geometry", "spacegroup": "No. 225", "magnetic_moment_mub_per_fu": 0.2, "cell": [[0.0000, 3.4650, 3.4650], [3.4650, 0.0000, 3.4650], [3.4650, 3.4650, 0.0000]], "species": ["Ga", "H", "Br", "Br"], "frac_coords": [[0.0000, 0.0000, 0.0000], [0.5000, 0.5000, 0.5000], [0.2500, 0.2500, 0.2500], [0.7500, 0.7500, 0.7500]]}

Stability check: which of them is most stable? (i).

(i)
{"formula": "GaHBr2", "functional": "PBE-GGA", "state": "optimized geometry", "spacegroup": "No. 8", "magnetic_moment_mub_per_fu": 0.0, "cell": [[5.3767, -1.9158, 0.0000], [5.3767, 1.9158, 0.0000], [-1.6970, 0.0000, 6.1153]], "species": ["Ga", "H", "Br", "Br"], "frac_coords": [[0.0000, 0.0000, 0.0000], [0.8596, 0.8596, 0.0164], [0.1815, 0.1815, 0.2915], [0.5279, 0.5279, 0.7578]]}

(ii)
{"formula": "GaHBr2", "functional": "PBE-GGA", "state": "optimized geometry", "spacegroup": "No. 166", "magnetic_moment_mub_per_fu": 0.0, "cell": [[2.4055, 1.3888, 6.5540], [-2.4055, 1.3888, 6.5540], [0.0000, -2.7776, 6.5540]], "species": ["Ga", "H", "Br", "Br"], "frac_coords": [[0.0000, 0.0000, 0.0000], [0.5000, 0.5000, 0.5000], [0.4130, 0.4130, 0.4130], [0.5870, 0.5870, 0.5870]]}

Stability check: which of them is most stable? (i).